Entry 1:
Tc3OsAu GGA-PBE relaxed; VASP energy = -37.07 eV for the cell shown; energy of formation from the pure elements = 1.707 eV per atom
1.0
4.685 0.000 0.000
0.000 4.685 0.000
0.000 0.000 4.685
Os Tc Au
1 3 1
Cartesian
0.000 0.000 0.000
2.343 0.000 0.000
0.000 2.343 0.000
0.000 0.000 2.343
2.343 2.343 2.343

---

Entry 2:
KMg2AlTe4 GGA-PBE relaxed; uncorrected formation energy = -0.742 eV per atom; VASP energy = -53.06 eV for the cell shown
1.0
-4.149 0.488 0.403
1.200 -8.105 0.317
1.611 0.848 15.574
Mg Te Al K
4 8 2 2
Cartesian
-1.565 -1.131 7.116
0.829 -5.323 14.990
0.227 -5.639 9.178
-2.166 -1.447 1.304
0.220 -3.370 6.350
0.000 0.000 0.000
-1.100 -3.159 14.368
-0.238 -3.611 1.925
0.411 -6.529 12.153
-1.749 -0.241 4.141
0.805 0.424 7.787
-1.558 -3.400 9.943
-1.477 -4.611 12.244
0.139 -2.159 4.050
-2.306 -5.247 4.471
0.968 -1.523 11.823

---

Entry 3:
KAc2W2N6 GGA-PBE relaxed; uncorrected formation energy = -0.599 eV per atom; VASP energy = -91.76 eV for the cell shown
1.0
-6.696 -1.763 1.144
-1.130 -6.325 0.495
-0.682 3.535 5.952
W N Ac K
2 6 2 1
Cartesian
-2.665 -2.370 5.457
-5.843 -2.184 2.134
-2.599 -3.762 4.214
-4.145 -2.019 6.505
-5.910 -0.792 3.377
-1.870 -0.752 5.083
-6.638 -3.801 2.508
-4.363 -2.535 1.086
-2.046 -3.406 1.787
-6.463 -1.147 5.804
-3.689 0.886 3.548

---

Entry 4:
Ba2TlPd4 GGA-PBE relaxed; VASP energy = -29.61 eV for the cell shown; energy of formation from the pure elements = -0.376 eV per atom
1.0
-5.261 1.847 3.060
-2.743 -0.887 -5.669
3.054 -5.153 2.495
Pd Ba Tl
4 2 1
Cartesian
-0.515 -2.537 0.646
-5.373 0.644 -1.754
-4.436 -1.656 -0.761
-2.630 0.315 -0.859
-1.846 -2.780 -2.240
-3.105 -1.413 2.125
-2.744 -0.886 -5.667

---

Which value of VASP energy does entry 2 give? -53.06 eV for the cell shown